First-principles (PBE) data for crystalline YMgZn at its relaxed geometry, as listed in OQMD.

Properties
**M_tot**: 0.04 μB per cell
**Raw total energy**: -3.14 eV per atom
**Symmetry**: P-3m1, No. 164
**Polymorph energy (0 for the lowest one)**: 0.244 eV/atom

Cell lengths 4.383, 4.383, 8.804 Å; angles 90.00, 90.00, 120.00 degrees
Fractional positions:
Zn  0.667  0.333  0.620
Zn  0.000  0.000  0.441
Mg  0.333  0.667  0.030
Mg  0.333  0.667  0.530
Y  0.667  0.333  0.264
Y  0.000  0.000  0.796


First-principles (PBE) data for crystalline YMgZn at its relaxed geometry, as listed in OQMD.

Properties
**M_tot**: 0.04 μB per cell
**Raw total energy**: -3.33 eV per atom
**Symmetry**: P3m1, No. 156
**Polymorph energy (0 for the lowest one)**: 0.054 eV/atom

Cell lengths 4.928, 4.928, 6.347 Å; angles 90.00, 90.00, 120.00 degrees
Fractional positions:
Zn  0.333  0.667  0.748
Zn  0.667  0.333  0.364
Mg  0.333  0.667  0.242
Mg  0.000  0.000  0.059
Y  0.000  0.000  0.543
Y  0.667  0.333  0.889


First-principles (PBE) data for crystalline YMgZn at its relaxed geometry, as listed in OQMD.

Properties
**M_tot**: 0.01 μB per cell
**Raw total energy**: -3.30 eV per atom
**Symmetry**: P3m1, No. 156
**Polymorph energy (0 for the lowest one)**: 0.081 eV/atom

Cell lengths 4.926, 4.930, 9.627 Å; angles 90.00, 90.00, 120.00 degrees
Fractional positions:
Zn  0.667  0.333  0.551
Zn  0.333  0.666  0.066
Zn  0.000  0.000  0.296
Y  0.333  0.667  0.382
Y  0.000  0.000  0.001
Y  0.333  0.667  0.741
Mg  0.666  0.333  0.868
Mg  0.001  0.001  0.588
Mg  0.667  0.333  0.199


First-principles (PBE) data for crystalline YMgZn at its relaxed geometry, as listed in OQMD.

Properties
**M_tot**: 0.34 μB per cell
**Raw total energy**: -3.06 eV per atom
**Symmetry**: P3m1, No. 156
**Polymorph energy (0 for the lowest one)**: 0.317 eV/atom

Cell lengths 3.519, 3.519, 13.469 Å; angles 90.00, 90.00, 120.00 degrees
Fractional positions:
Zn  0.000  0.000  0.660
Zn  0.000  0.000  0.377
Y  0.667  0.333  0.824
Y  0.000  0.000  0.035
Mg  0.333  0.667  0.519
Mg  0.333  0.667  0.234


First-principles (PBE) data for crystalline YMgZn at its relaxed geometry, as listed in OQMD.

Properties
**M_tot**: 0.01 μB per cell
**Raw total energy**: -3.31 eV per atom
**Symmetry**: Cm, No. 8
**Polymorph energy (0 for the lowest one)**: 0.069 eV/atom

Cell lengths 4.957, 3.520, 10.906 Å; angles 89.99, 89.99, 134.80 degrees
Fractional positions:
Mg  0.807  0.613  0.800
Mg  0.306  0.612  0.965
Zn  0.305  0.611  0.664
Zn  0.305  0.610  0.327
Y  0.805  0.611  0.168
Y  0.805  0.609  0.494


First-principles (PBE) data for crystalline YMgZn at its relaxed geometry, as listed in OQMD.

Properties
**M_tot**: 0.08 μB per cell
**Raw total energy**: -3.30 eV per atom
**Symmetry**: P-3m1, No. 164
**Polymorph energy (0 for the lowest one)**: 0.083 eV/atom

Cell lengths 4.696, 4.696, 7.097 Å; angles 90.00, 90.00, 120.00 degrees
Fractional positions:
Zn  0.667  0.333  0.760
Zn  0.333  0.667  0.240
Y  0.000  0.000  0.500
Y  0.000  0.000  0.000
Mg  0.333  0.667  0.753
Mg  0.667  0.333  0.247


First-principles (PBE) data for crystalline YMgZn at its relaxed geometry, as listed in OQMD.

Properties
**M_tot**: 0.01 μB per cell
**Raw total energy**: -3.31 eV per atom
**Symmetry**: P3m1, No. 156
**Polymorph energy (0 for the lowest one)**: 0.069 eV/atom

Cell lengths 4.968, 4.968, 9.303 Å; angles 90.00, 90.00, 120.00 degrees
Fractional positions:
Mg  0.000  0.000  0.071
Mg  0.000  0.000  0.752
Mg  0.333  0.667  0.209
Y  0.000  0.000  0.400
Y  0.667  0.333  0.945
Y  0.333  0.667  0.592
Zn  0.667  0.333  0.603
Zn  0.333  0.667  0.906
Zn  0.667  0.333  0.289


First-principles (PBE) data for crystalline YMgZn at its relaxed geometry, as listed in OQMD.

Properties
**M_tot**: 0.04 μB per cell
**Raw total energy**: -3.19 eV per atom
**Symmetry**: P3m1, No. 156
**Polymorph energy (0 for the lowest one)**: 0.190 eV/atom

Cell lengths 4.849, 4.849, 10.173 Å; angles 90.00, 90.00, 120.00 degrees
Fractional positions:
Zn  0.000  0.000  0.672
Zn  0.333  0.667  0.034
Zn  0.000  0.000  0.004
Y  0.667  0.333  0.520
Y  0.667  0.333  0.885
Y  0.333  0.667  0.719
Mg  0.667  0.333  0.192
Mg  0.333  0.667  0.354
Mg  0.000  0.000  0.311


First-principles (PBE) data for crystalline YMgZn at its relaxed geometry, as listed in OQMD.

Properties
**M_tot**: 0.00 μB per cell
**Raw total energy**: -3.38 eV per atom
**Symmetry**: Pnma, No. 62
**Polymorph energy (0 for the lowest one)**: 0.000 eV/atom

Cell lengths 6.115, 4.940, 8.857 Å; angles 90.00, 90.00, 90.00 degrees
Fractional positions:
Zn  0.797  0.250  0.910
Zn  0.703  0.750  0.410
Zn  0.203  0.750  0.090
Zn  0.297  0.250  0.590
Mg  0.483  0.250  0.274
Mg  0.983  0.250  0.226
Mg  0.017  0.750  0.774
Mg  0.517  0.750  0.726
Y  0.299  0.250  0.921
Y  0.799  0.250  0.579
Y  0.701  0.750  0.079
Y  0.201  0.750  0.421


First-principles (PBE) data for crystalline YMgZn at its relaxed geometry, as listed in OQMD.

Properties
**M_tot**: 0.09 μB per cell
**Raw total energy**: -3.06 eV per atom
**Symmetry**: P3m1, No. 156
**Polymorph energy (0 for the lowest one)**: 0.319 eV/atom

Cell lengths 4.235, 4.235, 9.735 Å; angles 90.00, 90.00, 120.00 degrees
Fractional positions:
Y  0.000  0.000  0.143
Y  0.333  0.667  0.867
Mg  0.000  0.000  0.483
Mg  0.667  0.333  0.649
Zn  0.667  0.333  0.339
Zn  0.333  0.667  0.328


First-principles (PBE) data for crystalline YMgZn at its relaxed geometry, as listed in OQMD.

Properties
**M_tot**: 0.01 μB per cell
**Raw total energy**: -3.04 eV per atom
**Symmetry**: C2/m, No. 12
**Polymorph energy (0 for the lowest one)**: 0.337 eV/atom

Cell lengths 4.292, 4.292, 9.390 Å; angles 103.11, 103.11, 59.90 degrees
Fractional positions:
Zn  0.204  0.204  0.489
Zn  0.518  0.518  0.428
Y  0.649  0.649  0.822
Y  0.074  0.074  0.095
Mg  0.809  0.809  0.301
Mg  0.913  0.913  0.616


First-principles (PBE) data for crystalline YMgZn at its relaxed geometry, as listed in OQMD.

Properties
**M_tot**: 0.02 μB per cell
**Raw total energy**: -3.22 eV per atom
**Symmetry**: P3m1, No. 156
**Polymorph energy (0 for the lowest one)**: 0.161 eV/atom

Cell lengths 4.965, 4.965, 9.435 Å; angles 90.00, 90.00, 120.00 degrees
Fractional positions:
Y  0.333  0.667  0.633
Y  0.667  0.333  0.900
Y  0.333  0.667  0.268
Mg  0.667  0.333  0.218
Mg  0.000  0.000  0.436
Mg  0.000  0.000  0.783
Zn  0.667  0.333  0.513
Zn  0.000  0.000  0.110
Zn  0.333  0.667  0.958